# 1
Material: RbNpGaBr6
Method: DFT, PBE
State: optimized geometry

abc: 7.430 7.430 13.761
angles: 90.00 90.00 90.00
Positions (direct):
Rb 0.000 0.000 0.000
Rb 0.500 0.500 0.500
Np 0.000 0.000 0.661
Np 0.500 0.500 0.161
Ga 0.000 0.000 0.337
Ga 0.500 0.500 0.837
Br 0.173 0.173 0.505
Br 0.195 0.195 0.797
Br 0.237 0.237 0.171
Br 0.263 0.737 0.671
Br 0.305 0.695 0.297
Br 0.327 0.673 0.005
Br 0.673 0.327 0.005
Br 0.695 0.305 0.297
Br 0.737 0.263 0.671
Br 0.763 0.763 0.171
Br 0.805 0.805 0.797
Br 0.827 0.827 0.505

Computed properties:
calculated density: 3.8 g cm⁻³
formation energy without anion corrections: -1.216 eV/atom
DFT total energy: -75.839 eV for the cell shown

=====

# 2
Material: SrNpGa2Br8
Method: DFT, PBE
State: optimized geometry

abc: 7.022 8.972 7.300
angles: 90.00 92.34 90.00
Positions (direct):
Sr 0.000 0.000 0.000
Np 0.000 0.500 0.000
Ga 0.500 0.237 0.500
Ga 0.500 0.763 0.500
Br 0.223 0.271 0.851
Br 0.223 0.729 0.851
Br 0.230 0.500 0.310
Br 0.271 0.000 0.337
Br 0.729 0.000 0.663
Br 0.770 0.500 0.690
Br 0.777 0.271 0.149
Br 0.777 0.729 0.149

Computed properties:
calculated density: 4.0 g cm⁻³
formation energy without anion corrections: -1.212 eV/atom
DFT total energy: -48.600 eV for the cell shown

=====

# 3
Material: NpTlGaBr6
Method: DFT, PBE
State: optimized geometry

abc: 7.313 7.313 13.568
angles: 90.00 90.00 90.00
Positions (direct):
Np 0.000 0.000 0.000
Np 0.500 0.500 0.500
Tl 0.000 0.000 0.664
Tl 0.500 0.500 0.164
Ga 0.000 0.000 0.327
Ga 0.500 0.500 0.827
Br 0.178 0.178 0.156
Br 0.193 0.193 0.856
Br 0.233 0.233 0.493
Br 0.267 0.733 0.993
Br 0.307 0.693 0.356
Br 0.322 0.678 0.656
Br 0.678 0.322 0.656
Br 0.693 0.307 0.356
Br 0.733 0.267 0.993
Br 0.767 0.767 0.493
Br 0.807 0.807 0.856
Br 0.822 0.822 0.156

Computed properties:
calculated density: 4.5 g cm⁻³
formation energy without anion corrections: -1.015 eV/atom
DFT total energy: -75.005 eV for the cell shown

=====

# 4
Material: Ga3BrO
Method: DFT, PBE
State: optimized geometry

abc: 5.671 5.671 5.671
angles: 90.00 90.00 90.00
Positions (direct):
Ga 0.000 0.000 0.500
Ga 0.000 0.500 0.000
Ga 0.500 0.000 0.000
Br 0.000 0.000 0.000
O 0.500 0.500 0.500

Computed properties:
calculated density: 2.8 g cm⁻³
formation energy without anion corrections: 0.707 eV/atom
distance to the lowest polymorph of the same formula: 0.977 eV per atom
DFT total energy: -12.177 eV for the cell shown

=====

# 5
Material: GaBr2O
Method: DFT, PBE
State: optimized geometry

abc: 4.075 4.075 22.019
angles: 90.00 90.00 120.00
Positions (direct):
Ga 0.000 0.000 0.000
Ga 0.333 0.667 0.667
Ga 0.667 0.333 0.333
Br 0.000 0.000 0.408
Br 0.000 0.000 0.592
Br 0.333 0.667 0.074
Br 0.333 0.667 0.259
Br 0.667 0.333 0.741
Br 0.667 0.333 0.926
O 0.000 0.000 0.500
O 0.333 0.667 0.167
O 0.667 0.333 0.833

Computed properties:
calculated density: 3.9 g cm⁻³
formation energy without anion corrections: 0.129 eV/atom
distance to the lowest polymorph of the same formula: 0.000 eV per atom
DFT total energy: -32.440 eV for the cell shown

=====

# 6
Material: GaBrO3
Method: DFT, PBE
State: optimized geometry

abc: 4.034 4.034 4.034
angles: 90.00 90.00 90.00
Positions (direct):
Ga 0.000 0.000 0.000
Br 0.500 0.500 0.500
O 0.000 0.500 0.500
O 0.500 0.000 0.500
O 0.500 0.500 0.000

Computed properties:
calculated density: 5.0 g cm⁻³
formation energy without anion corrections: 0.337 eV/atom
DFT total energy: -17.888 eV for the cell shown